The following is a GGA-PBEsol calculation of a relaxed ZnGa3W crystal, from Alexandria.

Output
- DFT formation energy: 0.779 eV/atom
- M_tot: 0.001 μB per cell
- E: -21.51 eV/cell

a b c (Å): 4.877 4.877 4.877
angles (deg): 90.00 90.00 90.00
Positions (direct):
Zn1 0.000 0.000 0.000
Ga1 0.000 0.500 0.500
Ga2 0.500 0.000 0.500
Ga3 0.500 0.500 0.000
W1 0.500 0.500 0.500



The following is a GGA-PBEsol calculation of a relaxed CrSiH12O6F6 crystal, from Alexandria.

Output
- M_tot: 4.000 μB per cell
- E: -140.41 eV/cell

a b c (Å): 6.312 6.312 6.312
angles (deg): 96.47 96.47 96.47
Positions (direct):
Cr1 0.000 0.000 0.000
Si1 0.500 0.500 0.500
H1 0.062 0.414 0.201
H2 0.184 0.678 0.788
H3 0.201 0.062 0.414
H4 0.212 0.816 0.322
H5 0.322 0.212 0.816
H6 0.414 0.201 0.062
H7 0.586 0.799 0.938
H8 0.678 0.788 0.184
H9 0.788 0.184 0.678
H10 0.799 0.938 0.586
H11 0.816 0.322 0.212
H12 0.938 0.586 0.799
O1 0.060 0.691 0.869
O2 0.131 0.940 0.309
O3 0.309 0.131 0.940
O4 0.691 0.869 0.060
O5 0.869 0.060 0.691
O6 0.940 0.309 0.131
F1 0.301 0.568 0.324
F2 0.324 0.301 0.568
F3 0.432 0.676 0.699
F4 0.568 0.324 0.301
F5 0.676 0.699 0.432
F6 0.699 0.432 0.676



The following is a GGA-PBEsol calculation of a relaxed TlSi4Mo crystal, from Alexandria.

Output
- Formation energy without anion corrections: 527 meV/atom
- M_tot: 0.000 μB per cell
- E: -34.22 eV/cell

a b c (Å): 5.080 5.080 5.080
angles (deg): 60.00 60.00 60.00
Positions (direct):
Tl1 0.000 0.000 0.000
Si1 0.376 0.376 0.376
Si2 0.376 0.376 0.871
Si3 0.376 0.871 0.376
Si4 0.871 0.376 0.376
Mo1 0.750 0.750 0.750



The following is a GGA-PBEsol calculation of a relaxed TcAg2W crystal, from Alexandria.

Output
- DFT formation energy: 1.026 eV/atom
- Relative energy among the computed polymorphs: 338 meV per atom
- M_tot: 0.001 μB per cell
- E: -27.59 eV/cell

a b c (Å): 4.445 4.445 4.445
angles (deg): 60.00 60.00 60.00
Positions (direct):
Tc1 0.000 0.000 0.000
Ag1 0.250 0.250 0.250
Ag2 0.750 0.750 0.750
W1 0.500 0.500 0.500



The following is a GGA-PBEsol calculation of a relaxed CaMn4Pt crystal, from Alexandria.

Output
- DFT formation energy: 0.324 eV/atom
- M_tot: 5.178 μB per cell
- E: -46.19 eV/cell

a b c (Å): 4.839 4.839 4.839
angles (deg): 60.00 60.00 60.00
Positions (direct):
Ca1 0.000 0.000 0.000
Mn1 0.375 0.375 0.375
Mn2 0.375 0.375 0.874
Mn3 0.375 0.874 0.375
Mn4 0.874 0.375 0.375
Pt1 0.750 0.750 0.750



The following is a GGA-PBEsol calculation of a relaxed RbSiRuAu2 crystal, from Alexandria.

Output
- Formation energy without anion corrections: 2431 meV/atom
- M_tot: 1.284 μB per cell
- E: -12.64 eV/cell

a b c (Å): 5.361 5.361 4.757
angles (deg): 90.00 90.00 90.00
Positions (direct):
Rb1 0.000 0.000 0.000
Si1 0.500 0.500 0.500
Ru1 0.000 0.000 0.500
Au1 0.000 0.500 0.000
Au2 0.500 0.000 0.000



Which formula does entry 6 have?
RbSiRuAu2



Which formula does entry 6 have?
RbSiRuAu2